1.
YCd2As: PBEsol geometry, meta-GGA SCAN.

```
YCd2As
1.0
-2.4962 1.2220 -2.6675
-2.4272 -3.0749 0.8627
-1.5126 4.8165 3.6220
Y Cd As
1 2 1
Direct
0.0000 0.1014 0.5766
0.0000 0.8339 0.0438
0.5000 0.4134 0.2025
0.5000 0.6513 0.6772
```

Calculated values
VASP energy ... -27.83 eV/atom

2.
ZnCdAs2: PBEsol geometry, meta-GGA SCAN.

```
ZnCdAs2
1.0
-1.9457 -2.1512 0.7506
-0.1300 -0.9824 2.8275
-7.3355 5.6724 3.2210
As Cd Zn
2 1 1
Direct
0.9865 0.9865 0.0404
0.7573 0.7573 0.7280
0.5060 0.5060 0.4820
0.2501 0.2501 0.2496
```

Calculated values
Excess energy over the best structure of this formula in the dataset ... 0.0 meV/atom
VASP energy ... -20.80 eV/atom